DFT (PBE) results for a relaxed KPr3Ag2Te6 crystal.

For the formation energy (no corrections), the calculation gives -1059 meV/atom. For the calculated density, the calculation gives 5.1 g cm⁻³.

The structure belongs to space group C2/m (No. 12); the cell edges are 21.214, 4.646 and 10.019 Å and the angles 90.00°, 108.86° and 90.00°. The asymmetric unit holds K at (0.000, 0.000, 0.000), Pr at (0.000, 0.000, 0.500), Pr at (0.173, 0.500, 0.839), Ag at (0.114, 0.500, 0.468), Te at (0.010, 0.500, 0.734), Te at (0.168, 0.000, 0.603) and Te at (0.172, 0.000, 0.054).

***

DFT (PBE) results for a relaxed Pm4PrDy2Er2 crystal.

The value obtained for the energy of formation is 0.17 eV/f.u. For the calculated density, the calculation gives 7.7 g cm⁻³.

The structure belongs to space group C2/m (No. 12); the cell edges are 15.286, 5.080 and 8.051 Å and the angles 90.00°, 108.32° and 90.00°. The asymmetric unit holds Pm at (0.055, 0.000, 0.333), Pm at (0.223, 0.500, 0.332), Pr at (0.000, 0.500, 0.000), Dy at (0.112, 0.500, 0.667) and Er at (0.168, 0.000, 0.999).